ZnCrCoSn | PBE-GGA | optimized geometry

Cell and atoms, written as CIF:
```
data_ZnCrCoSn
_chemical_formula_sum 'Zn4 Cr4 Co4 Sn4'
_space_group_name_H-M_alt 'F -4 3 m'
_space_group_IT_number 216
_space_group_name_Hall 'F -4 2 3'
_cell_length_a 6.180
_cell_length_b 6.180
_cell_length_c 6.180
_cell_angle_alpha 90.00
_cell_angle_beta 90.00
_cell_angle_gamma 90.00
loop_
_atom_site_label
_atom_site_type_symbol
_atom_site_fract_x
_atom_site_fract_y
_atom_site_fract_z
Zn1 Zn 0.000 0.000 0.000
Cr1 Cr 0.250 0.250 0.250
Co1 Co 0.250 0.250 0.750
Sn1 Sn 0.000 0.000 0.500
```

Computed properties:
* total magnetization: 3.4 μB/f.u.
* formation energy: 0.12 eV per atom

---

BaCuAs2Se4 | PBE-GGA | optimized geometry

Cell and atoms, written as CIF:
```
data_BaCuAs2Se4
_chemical_formula_sum 'Ba2 Cu2 As4 Se8'
_space_group_name_H-M_alt 'I 2 2 2'
_space_group_IT_number 23
_cell_length_a 6.825
_cell_length_b 7.314
_cell_length_c 8.196
_cell_angle_alpha 90.00
_cell_angle_beta 90.00
_cell_angle_gamma 90.00
loop_
_space_group_symop_operation_xyz
'x,y,z'
'-x,-y,z'
'x,-y,-z'
'-x,y,-z'
'x+1/2,y+1/2,z+1/2'
'-x+1/2,-y+1/2,z+1/2'
'x+1/2,-y+1/2,-z+1/2'
'-x+1/2,y+1/2,-z+1/2'
loop_
_atom_site_label
_atom_site_type_symbol
_atom_site_fract_x
_atom_site_fract_y
_atom_site_fract_z
Ba1 Ba 0.000 0.000 0.000
Cu1 Cu 0.000 0.000 0.500
As1 As 0.000 0.500 0.302
Se1 Se 0.221 0.182 0.665
```

Computed properties:
* total magnetization: 0.0 μB/f.u.
* formation energy without anion corrections: -0.5064 eV/atom

---

Zn2MoPt3 | PBE-GGA | optimized geometry

Cell and atoms, written as CIF:
```
data_Zn2MoPt3
_chemical_formula_sum 'Zn2 Mo1 Pt3'
_space_group_name_H-M_alt 'P 4/m m m'
_space_group_IT_number 123
_space_group_name_Hall '-P 4 2'
_cell_length_a 2.813
_cell_length_b 2.813
_cell_length_c 11.317
_cell_angle_alpha 90.00
_cell_angle_beta 90.00
_cell_angle_gamma 90.00
loop_
_atom_site_label
_atom_site_type_symbol
_atom_site_fract_x
_atom_site_fract_y
_atom_site_fract_z
Zn1 Zn 0.000 0.000 0.161
Mo1 Mo 0.000 0.000 0.500
Pt1 Pt 0.500 0.500 0.000
Pt2 Pt 0.500 0.500 0.329
```

Computed properties:
* total magnetization: 0.0 μB/f.u.
* formation energy: -0.48 eV per atom

---

CdCoOs2 | PBE-GGA | optimized geometry

Cell and atoms, written as CIF:
```
data_CdCoOs2
_chemical_formula_sum 'Cd1 Co1 Os2'
_space_group_name_H-M_alt 'P 4/m m m'
_space_group_IT_number 123
_space_group_name_Hall '-P 4 2'
_cell_length_a 4.510
_cell_length_b 4.510
_cell_length_c 2.914
_cell_angle_alpha 90.00
_cell_angle_beta 90.00
_cell_angle_gamma 90.00
loop_
_atom_site_label
_atom_site_type_symbol
_atom_site_fract_x
_atom_site_fract_y
_atom_site_fract_z
Cd1 Cd 0.000 0.000 0.000
Co1 Co 0.500 0.500 0.000
Os1 Os 0.000 0.500 0.500
```

Computed properties:
* total magnetization: 1.8 μB/f.u.
* formation energy: 0.93 eV per atom

---

NbNiSN2 | PBE-GGA | optimized geometry

Cell and atoms, written as CIF:
```
data_NbNiSN2
_chemical_formula_sum 'Nb1 Ni1 S1 N2'
_space_group_name_H-M_alt 'P 4/m m m'
_space_group_IT_number 123
_space_group_name_Hall '-P 4 2'
_cell_length_a 3.934
_cell_length_b 3.934
_cell_length_c 5.229
_cell_angle_alpha 90.00
_cell_angle_beta 90.00
_cell_angle_gamma 90.00
loop_
_atom_site_label
_atom_site_type_symbol
_atom_site_fract_x
_atom_site_fract_y
_atom_site_fract_z
Nb1 Nb 0.000 0.000 0.000
Ni1 Ni 0.500 0.500 0.500
S1 S 0.000 0.000 0.500
N1 N 0.000 0.500 0.000
```

Computed properties:
* total magnetization: 2.3 μB/f.u.
* formation energy without anion corrections: 0.6191 eV/atom
* energy above the most stable polymorph in this dataset: 0 meV/atom

---

MgTiIn3 | PBE-GGA | optimized geometry

Cell and atoms, written as CIF:
```
data_MgTiIn3
_chemical_formula_sum 'Mg1 Ti1 In3'
_space_group_name_H-M_alt 'P m -3 m'
_space_group_IT_number 221
_space_group_name_Hall '-P 4 2 3'
_cell_length_a 5.352
_cell_length_b 5.352
_cell_length_c 5.352
_cell_angle_alpha 90.00
_cell_angle_beta 90.00
_cell_angle_gamma 90.00
loop_
_atom_site_label
_atom_site_type_symbol
_atom_site_fract_x
_atom_site_fract_y
_atom_site_fract_z
Mg1 Mg 0.000 0.000 0.000
Ti1 Ti 0.500 0.500 0.500
In1 In 0.000 0.500 0.500
```

Computed properties:
* total magnetization: 1.1 μB/f.u.
* energy above the most stable polymorph in this dataset: 0 meV/atom
* formation energy: 0.48 eV per atom